Record 1
Material: Ho3Mg3TlZn2
Method: DFT, PBE-GGA
State: optimized geometry

Summary:
VASP energy = -2.84 eV per atom
Total magnetic moment = 0.00 Bohr magnetons per cell

```
data_Ho3Mg3TlZn2
_chemical_formula_sum 'Ho3 Mg3 Tl1 Zn2'
_space_group_name_H-M_alt 'P 1'
_space_group_IT_number 1
_cell_length_a 7.282
_cell_length_b 7.282
_cell_length_c 4.600
_cell_angle_alpha 90.00
_cell_angle_beta 90.00
_cell_angle_gamma 120.00
loop_
_space_group_symop_operation_xyz
'x,y,z'
loop_
_atom_site_label
_atom_site_type_symbol
_atom_site_fract_x
_atom_site_fract_y
_atom_site_fract_z
Zn1 Zn 0.667 0.333 0.500
Tl1 Tl 0.000 0.000 0.000
Mg1 Mg 0.749 0.000 0.500
Ho1 Ho 0.000 0.432 0.000
Ho2 Ho 0.568 0.568 0.000
Ho3 Ho 0.432 0.000 0.000
Mg2 Mg 0.000 0.749 0.500
Mg3 Mg 0.251 0.251 0.500
Zn2 Zn 0.333 0.667 0.500
```


Record 2
Material: GdTeAs
Method: DFT, PBE-GGA
State: optimized geometry

Summary:
VASP energy = -4.84 eV per atom
Total magnetic moment = 0.02 Bohr magnetons per cell

```
data_GdTeAs
_chemical_formula_sum 'Gd3 Te3 As3'
_space_group_name_H-M_alt 'P 1'
_space_group_IT_number 1
_cell_length_a 8.253
_cell_length_b 8.253
_cell_length_c 3.830
_cell_angle_alpha 90.00
_cell_angle_beta 90.00
_cell_angle_gamma 120.00
loop_
_space_group_symop_operation_xyz
'x,y,z'
loop_
_atom_site_label
_atom_site_type_symbol
_atom_site_fract_x
_atom_site_fract_y
_atom_site_fract_z
Gd1 Gd 0.387 0.387 0.500
Te1 Te 0.281 0.000 0.000
Te2 Te 0.719 0.719 0.000
As1 As 0.667 0.333 0.000
As2 As 0.000 0.000 0.500
As3 As 0.333 0.667 0.000
Te3 Te 0.000 0.281 0.000
Gd2 Gd 0.613 0.000 0.500
Gd3 Gd 0.000 0.613 0.500
```


Record 3
Material: BiIr
Method: DFT, PBE-GGA
State: optimized geometry

Summary:
VASP energy = -6.32 eV per atom
Total magnetic moment = 0.03 Bohr magnetons per cell

```
data_BiIr
_chemical_formula_sum 'Bi4 Ir4'
_space_group_name_H-M_alt 'P 1'
_space_group_IT_number 1
_cell_length_a 5.679
_cell_length_b 4.086
_cell_length_c 7.811
_cell_angle_alpha 90.00
_cell_angle_beta 90.00
_cell_angle_gamma 90.00
loop_
_space_group_symop_operation_xyz
'x,y,z'
loop_
_atom_site_label
_atom_site_type_symbol
_atom_site_fract_x
_atom_site_fract_y
_atom_site_fract_z
Ir1 Ir 0.250 0.000 0.662
Ir2 Ir 0.000 0.500 0.500
Bi1 Bi 0.750 0.000 0.703
Bi2 Bi 0.250 0.500 0.895
Bi3 Bi 0.750 0.500 0.105
Ir3 Ir 0.750 0.000 0.338
Ir4 Ir 0.500 0.500 0.500
Bi4 Bi 0.250 0.000 0.297
```


Record 4
Material: TmAgS2
Method: DFT, PBE-GGA
State: optimized geometry

Summary:
VASP energy = -5.22 eV per atom
Total magnetic moment = 0.00 Bohr magnetons per cell

```
data_TmAgS2
_chemical_formula_sum 'Tm1 Ag1 S2'
_space_group_name_H-M_alt 'P 1'
_space_group_IT_number 1
_cell_length_a 4.000
_cell_length_b 4.000
_cell_length_c 6.633
_cell_angle_alpha 90.00
_cell_angle_beta 90.00
_cell_angle_gamma 120.00
loop_
_space_group_symop_operation_xyz
'x,y,z'
loop_
_atom_site_label
_atom_site_type_symbol
_atom_site_fract_x
_atom_site_fract_y
_atom_site_fract_z
S1 S 0.333 0.667 0.205
Ag1 Ag 0.333 0.667 0.578
Tm1 Tm 0.000 0.000 0.001
S2 S 0.667 0.333 0.772
```